[1]
Below is crystalline Ba2CaSe2I2 at its relaxed geometry, with properties calculated at the PBE-GGA level.

Unit cell a=5.562 b=5.562 c=17.623 alpha=90.00 beta=90.00 gamma=90.00
Fractional positions:
Ba1 0.000 0.000 0.114
Ba2 0.000 0.000 0.886
Ba3 0.500 0.500 0.386
Ba4 0.500 0.500 0.614
Ca1 0.000 0.000 0.500
Ca2 0.500 0.500 0.000
Se1 0.000 0.500 0.000
Se2 0.000 0.500 0.500
Se3 0.500 0.000 0.000
Se4 0.500 0.000 0.500
I1 0.000 0.000 0.314
I2 0.000 0.000 0.686
I3 0.500 0.500 0.186
I4 0.500 0.500 0.814

Results
The calculation puts the energy at -4.128 eV/atom. As for the space-group type: I4/mmm, No. 139. The calculation puts the density of states at the Fermi level at 0.000 states/eV/atom.



[2]
Below is crystalline BaCaSnI6 at its relaxed geometry, with properties calculated at the PBE-GGA level.

Unit cell a=8.121 b=8.121 c=15.076 alpha=90.00 beta=90.00 gamma=120.00
Fractional positions:
Ba1 0.000 0.000 0.000
Ba2 0.000 0.000 0.500
Ca1 0.333 0.667 0.250
Ca2 0.667 0.333 0.750
Sn1 0.333 0.667 0.750
Sn2 0.667 0.333 0.250
I1 0.005 0.359 0.130
I2 0.005 0.646 0.370
I3 0.354 0.359 0.370
I4 0.354 0.995 0.130
I5 0.359 0.005 0.630
I6 0.359 0.354 0.870
I7 0.641 0.646 0.130
I8 0.641 0.995 0.370
I9 0.646 0.005 0.870
I10 0.646 0.641 0.630
I11 0.995 0.354 0.630
I12 0.995 0.641 0.870

Results
The calculation puts the energy at -3.189 eV/atom. As for the space-group type: P-31c, No. 163. The calculation puts the density of states at the Fermi level at 0.000 states/eV/atom.



[3]
Below is crystalline BaCa2SnI8 at its relaxed geometry, with properties calculated at the PBE-GGA level.

Unit cell a=7.379 b=9.647 c=7.794 alpha=90.00 beta=90.10 gamma=90.00
Fractional positions:
Ba1 0.000 0.000 0.000
Ca1 0.500 0.257 0.500
Ca2 0.500 0.743 0.500
Sn1 0.000 0.500 0.000
I1 0.254 0.267 0.165
I2 0.254 0.733 0.165
I3 0.260 0.500 0.658
I4 0.274 0.000 0.640
I5 0.726 0.000 0.360
I6 0.740 0.500 0.342
I7 0.746 0.267 0.835
I8 0.746 0.733 0.835

Results
The calculation puts the energy at -3.196 eV/atom. As for the space-group type: P2/m, No. 10. The calculation puts the density of states at the Fermi level at 0.000 states/eV/atom.



[4]
Below is crystalline Ba2CaTe2I2 at its relaxed geometry, with properties calculated at the PBE-GGA level.

Unit cell a=5.987 b=5.987 c=17.554 alpha=90.00 beta=90.00 gamma=90.00
Fractional positions:
Ba1 0.000 0.000 0.117
Ba2 0.000 0.000 0.883
Ba3 0.500 0.500 0.383
Ba4 0.500 0.500 0.617
Ca1 0.000 0.000 0.500
Ca2 0.500 0.500 0.000
Te1 0.000 0.500 0.000
Te2 0.000 0.500 0.500
Te3 0.500 0.000 0.000
Te4 0.500 0.000 0.500
I1 0.000 0.000 0.313
I2 0.000 0.000 0.687
I3 0.500 0.500 0.187
I4 0.500 0.500 0.813

Results
The calculation puts the energy at -3.804 eV/atom. As for the space-group type: I4/mmm, No. 139. The calculation puts the density of states at the Fermi level at 0.000 states/eV/atom.



[5]
Below is crystalline BaCaTeI2 at its relaxed geometry, with properties calculated at the PBE-GGA level.

Unit cell a=5.924 b=5.924 c=6.157 alpha=90.00 beta=90.00 gamma=90.00
Fractional positions:
Ba1 0.000 0.000 0.000
Ca1 0.500 0.500 0.500
Te1 0.500 0.500 0.000
I1 0.000 0.500 0.500
I2 0.500 0.000 0.500

Results
The calculation puts the energy at -3.454 eV/atom. As for the space-group type: P4/mmm, No. 123. The value obtained for the offset from the most stable computed form is 0.0 meV per atom.



[6]
Below is crystalline BaCaTeI2 at its relaxed geometry, with properties calculated at the PBE-GGA level.

Unit cell a=6.414 b=6.414 c=6.752 alpha=90.00 beta=90.00 gamma=90.00
Fractional positions:
Ba1 0.000 0.000 0.000
Ca1 0.500 0.500 0.500
Te1 0.000 0.000 0.500
I1 0.000 0.500 0.000
I2 0.500 0.000 0.000

Results
The calculation puts the energy at -2.891 eV/atom. As for the space-group type: P4/mmm, No. 123. The value obtained for the offset from the most stable computed form is 562.7 meV per atom. The calculation puts the density of states at the Fermi level at 0.184 states/eV/atom.



[7]
Below is crystalline BaCaVI2 at its relaxed geometry, with properties calculated at the PBE-GGA level.

Unit cell a=5.736 b=5.736 c=6.008 alpha=90.00 beta=90.00 gamma=90.00
Fractional positions:
Ba1 0.000 0.000 0.000
Ca1 0.500 0.500 0.000
V1 0.500 0.500 0.500
I1 0.000 0.500 0.500
I2 0.500 0.000 0.500

Results
The calculation puts the energy at -3.291 eV/atom. As for the space-group type: P4/mmm, No. 123. The calculation puts the density of states at the Fermi level at 1.049 states/eV/atom.



[8]
Below is crystalline BaCaV2I at its relaxed geometry, with properties calculated at the PBE-GGA level.

Unit cell a=5.382 b=5.382 c=6.386 alpha=90.00 beta=90.00 gamma=90.00
Fractional positions:
Ba1 0.000 0.000 0.000
Ca1 0.500 0.500 0.000
V1 0.000 0.500 0.500
V2 0.500 0.000 0.500
I1 0.000 0.000 0.500

Results
The calculation puts the energy at -3.828 eV/atom. As for the space-group type: P4/mmm, No. 123. The calculation puts the density of states at the Fermi level at 1.353 states/eV/atom.



Taking the records one at a time from the top gives ρ values of 4.43, 4.08, 4.05, 4.35, 4.30, 3.34, 4.05, 3.65 g cm⁻³.